one) # HfCo2Si2 (PBE-GGA, optimized geometry)
# Mass density in g/cm³: 8.63
data_HfCo2Si2
_symmetry_space_group_name_H-M 'I 4/m m m'
_symmetry_Int_Tables_number 139
_symmetry_space_group_name_Hall '-I 4 2'
_cell_length_a 3.8688
_cell_length_b 3.8688
_cell_length_c 9.0620
_cell_angle_alpha 90.00
_cell_angle_beta 90.00
_cell_angle_gamma 90.00
loop_
_atom_site_label
_atom_site_type_symbol
_atom_site_fract_x
_atom_site_fract_y
_atom_site_fract_z
Hf1 Hf 0.0000 0.0000 0.0000
Co1 Co 0.0000 0.0000 0.3775
Si1 Si 0.0000 0.5000 0.2500

two) # HfCo2Si2 (PBE-GGA, optimized geometry)
# Mass density in g/cm³: 8.76
data_HfCo2Si2
_symmetry_space_group_name_H-M 'I 4/m m m'
_symmetry_Int_Tables_number 139
_symmetry_space_group_name_Hall '-I 4 2'
_cell_length_a 3.7322
_cell_length_b 3.7322
_cell_length_c 9.5926
_cell_angle_alpha 90.00
_cell_angle_beta 90.00
_cell_angle_gamma 90.00
loop_
_atom_site_label
_atom_site_type_symbol
_atom_site_fract_x
_atom_site_fract_y
_atom_site_fract_z
Hf1 Hf 0.0000 0.0000 0.0000
Co1 Co 0.0000 0.5000 0.2500
Si1 Si 0.0000 0.0000 0.3788

Sorted by energy, starting with the most stable: two), one).

one) # SmHfCo2 (PBE-GGA, optimized geometry)
# Mass density in g/cm³: 10.54
data_SmHfCo2
_symmetry_space_group_name_H-M 'P 4/m m m'
_symmetry_Int_Tables_number 123
_symmetry_space_group_name_Hall '-P 4 2'
_cell_length_a 3.2220
_cell_length_b 3.2220
_cell_length_c 6.7768
_cell_angle_alpha 90.00
_cell_angle_beta 90.00
_cell_angle_gamma 90.00
loop_
_atom_site_label
_atom_site_type_symbol
_atom_site_fract_x
_atom_site_fract_y
_atom_site_fract_z
Sm1 Sm 0.0000 0.0000 0.0000
Hf1 Hf 0.0000 0.0000 0.5000
Co1 Co 0.5000 0.5000 0.2888

two) # SmHfCo2 (PBE-GGA, optimized geometry)
# Mass density in g/cm³: 10.44
data_SmHfCo2
_symmetry_space_group_name_H-M 'F m -3 m'
_symmetry_Int_Tables_number 225
_symmetry_space_group_name_Hall '-F 4 2 3'
_cell_length_a 6.5749
_cell_length_b 6.5749
_cell_length_c 6.5749
_cell_angle_alpha 90.00
_cell_angle_beta 90.00
_cell_angle_gamma 90.00
loop_
_atom_site_label
_atom_site_type_symbol
_atom_site_fract_x
_atom_site_fract_y
_atom_site_fract_z
Sm1 Sm 0.0000 0.0000 0.0000
Hf1 Hf 0.0000 0.0000 0.5000
Co1 Co 0.2500 0.2500 0.2500

Sorted by energy, starting with the most stable: one), two).

one) # Hf3CoSn (PBE-GGA, optimized geometry)
# Mass density in g/cm³: 11.48
data_Hf3CoSn
_symmetry_space_group_name_H-M 'C 1 2/m 1'
_symmetry_Int_Tables_number 12
_symmetry_space_group_name_Hall '-C 2y'
_cell_length_a 9.2145
_cell_length_b 6.1483
_cell_length_c 8.0982
_cell_angle_alpha 90.00
_cell_angle_beta 115.91
_cell_angle_gamma 90.00
loop_
_atom_site_label
_atom_site_type_symbol
_atom_site_fract_x
_atom_site_fract_y
_atom_site_fract_z
Hf1 Hf 0.0260 0.0000 0.2106
Hf2 Hf 0.1917 0.5000 0.8905
Hf3 Hf 0.1968 0.5000 0.2940
Co1 Co 0.0000 0.2994 0.0000
Sn1 Sn 0.0000 0.2715 0.5000

two) # Hf3CoSn (PBE-GGA, optimized geometry)
# Mass density in g/cm³: 11.74
data_Hf3CoSn
_symmetry_space_group_name_H-M 'P 1 21/m 1'
_symmetry_Int_Tables_number 11
_symmetry_space_group_name_Hall '-P 2yb'
_cell_length_a 7.4738
_cell_length_b 3.8935
_cell_length_c 7.6791
_cell_angle_alpha 90.00
_cell_angle_beta 115.43
_cell_angle_gamma 90.00
loop_
_atom_site_label
_atom_site_type_symbol
_atom_site_fract_x
_atom_site_fract_y
_atom_site_fract_z
Hf1 Hf 0.0330 0.2500 0.2144
Hf2 Hf 0.3269 0.7500 0.5869
Hf3 Hf 0.3276 0.2500 0.9076
Co1 Co 0.0679 0.2500 0.5831
Sn1 Sn 0.3270 0.7500 0.1981

Sorted by energy, starting with the most stable: two), one).

one) # HfCo2Sn2 (PBE-GGA, optimized geometry)
# Mass density in g/cm³: 10.00
data_HfCo2Sn2
_symmetry_space_group_name_H-M 'P m m n'
_symmetry_Int_Tables_number 59
_cell_length_a 4.3507
_cell_length_b 4.3786
_cell_length_c 9.3100
_cell_angle_alpha 90.00
_cell_angle_beta 90.00
_cell_angle_gamma 90.00
loop_
_symmetry_equiv_pos_as_xyz
'x,y,z'
'-x,-y,-z'
'-x+1/2,-y+1/2,z'
'x+1/2,y+1/2,-z'
'x+1/2,-y,-z'
'-x+1/2,y,z'
'-x,y+1/2,-z'
'x,-y+1/2,z'
loop_
_atom_site_label
_atom_site_type_symbol
_atom_site_fract_x
_atom_site_fract_y
_atom_site_fract_z
Hf1 Hf 0.2500 0.2500 0.1695
Co1 Co 0.2500 0.7500 0.3265
Co2 Co 0.2500 0.7500 0.9992
Sn1 Sn 0.2500 0.2500 0.4945
Sn2 Sn 0.2500 0.2500 0.8290

two) # HfCo2Sn2 (PBE-GGA, optimized geometry)
# Mass density in g/cm³: 10.61
data_HfCo2Sn2
_symmetry_space_group_name_H-M 'P 4/m b m'
_symmetry_Int_Tables_number 127
_symmetry_space_group_name_Hall '-P 4 2ab'
_cell_length_a 7.2667
_cell_length_b 7.2667
_cell_length_c 3.1639
_cell_angle_alpha 90.00
_cell_angle_beta 90.00
_cell_angle_gamma 90.00
loop_
_atom_site_label
_atom_site_type_symbol
_atom_site_fract_x
_atom_site_fract_y
_atom_site_fract_z
Hf1 Hf 0.0000 0.0000 0.0000
Co1 Co 0.1325 0.3675 0.0000
Sn1 Sn 0.1620 0.6620 0.5000

Sorted by energy, starting with the most stable: one), two).

one) # HfZrCoSn2 (PBE-GGA, optimized geometry)
# Mass density in g/cm³: 8.55
data_HfZrCoSn2
_symmetry_space_group_name_H-M 'P 4/m m m'
_symmetry_Int_Tables_number 123
_symmetry_space_group_name_Hall '-P 4 2'
_cell_length_a 4.7955
_cell_length_b 4.7955
_cell_length_c 4.7803
_cell_angle_alpha 90.00
_cell_angle_beta 90.00
_cell_angle_gamma 90.00
loop_
_atom_site_label
_atom_site_type_symbol
_atom_site_fract_x
_atom_site_fract_y
_atom_site_fract_z
Hf1 Hf 0.0000 0.0000 0.0000
Zr1 Zr 0.5000 0.5000 0.0000
Co1 Co 0.0000 0.0000 0.5000
Sn1 Sn 0.0000 0.5000 0.5000

two) # HfZrCoSn2 (PBE-GGA, optimized geometry)
# Mass density in g/cm³: 7.52
data_HfZrCoSn2
_symmetry_space_group_name_H-M 'P 4/m m m'
_symmetry_Int_Tables_number 123
_symmetry_space_group_name_Hall '-P 4 2'
_cell_length_a 5.3348
_cell_length_b 5.3348
_cell_length_c 4.3925
_cell_angle_alpha 90.00
_cell_angle_beta 90.00
_cell_angle_gamma 90.00
loop_
_atom_site_label
_atom_site_type_symbol
_atom_site_fract_x
_atom_site_fract_y
_atom_site_fract_z
Hf1 Hf 0.0000 0.0000 0.0000
Zr1 Zr 0.5000 0.5000 0.5000
Co1 Co 0.0000 0.0000 0.5000
Sn1 Sn 0.0000 0.5000 0.0000

Sorted by energy, starting with the most stable: one), two).

one) # SrHfCo2 (PBE-GGA, optimized geometry)
# Mass density in g/cm³: 8.73
data_SrHfCo2
_symmetry_space_group_name_H-M 'F m -3 m'
_symmetry_Int_Tables_number 225
_symmetry_space_group_name_Hall '-F 4 2 3'
_cell_length_a 6.6347
_cell_length_b 6.6347
_cell_length_c 6.6347
_cell_angle_alpha 90.00
_cell_angle_beta 90.00
_cell_angle_gamma 90.00
loop_
_atom_site_label
_atom_site_type_symbol
_atom_site_fract_x
_atom_site_fract_y
_atom_site_fract_z
Sr1 Sr 0.0000 0.0000 0.0000
Hf1 Hf 0.0000 0.0000 0.5000
Co1 Co 0.2500 0.2500 0.2500

two) # SrHfCo2 (PBE-GGA, optimized geometry)
# Mass density in g/cm³: 7.86
data_SrHfCo2
_symmetry_space_group_name_H-M 'I -4 2 d'
_symmetry_Int_Tables_number 122
_symmetry_space_group_name_Hall 'I -4 2bw'
_cell_length_a 7.1428
_cell_length_b 7.1428
_cell_length_c 6.3606
_cell_angle_alpha 90.00
_cell_angle_beta 90.00
_cell_angle_gamma 90.00
loop_
_atom_site_label
_atom_site_type_symbol
_atom_site_fract_x
_atom_site_fract_y
_atom_site_fract_z
Sr1 Sr 0.0000 0.0000 0.0000
Hf1 Hf 0.0000 0.0000 0.5000
Co1 Co 0.2079 0.2500 0.6250

Sorted by energy, starting with the most stable: one), two).